[1]
This record from Alexandria describes crystalline K4CrCl at its relaxed geometry. The functional is PBE-GGA.

The structure in CIF format:
```
data_K4CrCl
_chemical_formula_sum 'K4 Cr1 Cl1'
_cell_length_a 7.557
_cell_length_b 7.557
_cell_length_c 7.557
_cell_angle_alpha 60.00
_cell_angle_beta 60.00
_cell_angle_gamma 60.00
_space_group_name_H-M_alt 'P 1'
_space_group_IT_number 1
loop_
_space_group_symop_operation_xyz
'x,y,z'
loop_
_atom_site_label
_atom_site_fract_x
_atom_site_fract_y
_atom_site_fract_z
K1 0.375 0.875 0.375
Cr1 0.000 0.000 0.000
K2 0.375 0.375 0.875
K3 0.375 0.375 0.375
Cl1 0.750 0.750 0.750
K4 0.875 0.375 0.375
```

Results
Its space-group type is No. 216. For the raw formation energy, the calculation gives 1.69 eV per formula unit. For the mass density, the calculation gives 1.3 g cm⁻³.

[2]
This record from Alexandria describes crystalline KCr3Cl at its relaxed geometry. The functional is PBE-GGA.

The structure in CIF format:
```
data_KCr3Cl
_chemical_formula_sum 'K1 Cr3 Cl1'
_cell_length_a 5.920
_cell_length_b 5.920
_cell_length_c 5.920
_cell_angle_alpha 90.00
_cell_angle_beta 90.00
_cell_angle_gamma 90.00
_space_group_name_H-M_alt 'P 1'
_space_group_IT_number 1
loop_
_space_group_symop_operation_xyz
'x,y,z'
loop_
_atom_site_label
_atom_site_fract_x
_atom_site_fract_y
_atom_site_fract_z
Cr1 0.000 0.000 0.500
K1 0.000 0.000 0.000
Cr2 0.000 0.500 0.000
Cl1 0.500 0.500 0.500
Cr3 0.500 0.000 0.000
```

Results
Its space-group type is No. 221. Its energy above the most stable polymorph in this dataset is 860.7 meV per atom. For the raw formation energy, the calculation gives 10.02 eV per formula unit. For the mass density, the calculation gives 1.8 g cm⁻³.

[3]
This record from Alexandria describes crystalline K2CrCl at its relaxed geometry. The functional is PBE-GGA.

The structure in CIF format:
```
data_K2CrCl
_chemical_formula_sum 'K2 Cr1 Cl1'
_cell_length_a 3.827
_cell_length_b 3.787
_cell_length_c 9.728
_cell_angle_alpha 67.08
_cell_angle_beta 90.00
_cell_angle_gamma 90.00
_space_group_name_H-M_alt 'P 1'
_space_group_IT_number 1
loop_
_space_group_symop_operation_xyz
'x,y,z'
loop_
_atom_site_label
_atom_site_fract_x
_atom_site_fract_y
_atom_site_fract_z
Cr1 0.500 0.750 0.750
K1 0.000 0.539 0.459
Cl1 0.500 0.250 0.250
K2 0.000 0.961 0.041
```

Results
Its space-group type is No. 10. Its energy above the most stable polymorph in this dataset is 0.0 meV per atom. For the raw formation energy, the calculation gives -1.13 eV per formula unit. For the mass density, the calculation gives 2.1 g cm⁻³.

[4]
This record from Alexandria describes crystalline K4CrCl6 at its relaxed geometry. The functional is PBE-GGA.

The structure in CIF format:
```
data_K4CrCl6
_chemical_formula_sum 'K8 Cr2 Cl12'
_cell_length_a 8.605
_cell_length_b 8.605
_cell_length_c 8.756
_cell_angle_alpha 90.00
_cell_angle_beta 90.00
_cell_angle_gamma 90.00
_space_group_name_H-M_alt 'P 1'
_space_group_IT_number 1
loop_
_space_group_symop_operation_xyz
'x,y,z'
loop_
_atom_site_label
_atom_site_fract_x
_atom_site_fract_y
_atom_site_fract_z
Cl1 0.705 0.095 0.500
Cl2 0.500 0.500 0.728
Cl3 0.205 0.405 0.000
K1 0.330 0.170 0.250
Cr1 0.500 0.500 0.000
Cl4 0.000 0.000 0.228
K2 0.670 0.830 0.250
K3 0.170 0.670 0.750
Cl5 0.595 0.205 0.000
Cl6 0.500 0.500 0.272
K4 0.330 0.170 0.750
Cl7 0.295 0.905 0.500
K5 0.830 0.330 0.250
Cl8 0.405 0.795 0.000
Cl9 0.905 0.705 0.500
Cl10 0.795 0.595 0.000
Cr2 0.000 0.000 0.500
Cl11 0.095 0.295 0.500
K6 0.830 0.330 0.750
K7 0.670 0.830 0.750
Cl12 0.000 0.000 0.772
K8 0.170 0.670 0.250
```

Results
Its space-group type is No. 128. For the raw formation energy, the calculation gives -18.25 eV per formula unit. For the mass density, the calculation gives 2.2 g cm⁻³.

[5]
This record from Alexandria describes crystalline KCr2Cl7 at its relaxed geometry. The functional is PBE-GGA.

The structure in CIF format:
```
data_KCr2Cl7
_chemical_formula_sum 'K1 Cr2 Cl7'
_cell_length_a 4.733
_cell_length_b 7.571
_cell_length_c 7.571
_cell_angle_alpha 117.66
_cell_angle_beta 90.00
_cell_angle_gamma 90.00
_space_group_name_H-M_alt 'P 1'
_space_group_IT_number 1
loop_
_space_group_symop_operation_xyz
'x,y,z'
loop_
_atom_site_label
_atom_site_fract_x
_atom_site_fract_y
_atom_site_fract_z
Cl1 0.000 0.302 0.698
Cl2 0.000 0.698 0.302
Cl3 0.500 0.949 0.666
Cl4 0.500 0.666 0.949
K1 0.000 0.000 0.000
Cl5 0.500 0.500 0.500
Cl6 0.500 0.334 0.051
Cl7 0.500 0.051 0.334
Cr1 0.500 0.720 0.280
Cr2 0.500 0.280 0.720
```

Results
Its space-group type is No. 65. For the raw formation energy, the calculation gives -10.29 eV per formula unit. For the mass density, the calculation gives 2.7 g cm⁻³.

[6]
This record from Alexandria describes crystalline KCr3Cl8 at its relaxed geometry. The functional is PBE-GGA.

The structure in CIF format:
```
data_KCr3Cl8
_chemical_formula_sum 'K1 Cr3 Cl8'
_cell_length_a 8.140
_cell_length_b 7.957
_cell_length_c 7.866
_cell_angle_alpha 125.52
_cell_angle_beta 90.00
_cell_angle_gamma 120.76
_space_group_name_H-M_alt 'P 1'
_space_group_IT_number 1
loop_
_space_group_symop_operation_xyz
'x,y,z'
loop_
_atom_site_label
_atom_site_fract_x
_atom_site_fract_y
_atom_site_fract_z
Cl1 0.685 0.959 0.199
Cl2 0.274 0.959 0.199
Cr1 0.500 0.000 0.000
Cl3 0.269 0.537 0.712
Cl4 0.268 0.535 0.179
Cr2 0.500 0.500 0.000
Cr3 0.000 0.500 0.000
K1 0.000 0.000 0.000
Cl5 0.726 0.041 0.801
Cl6 0.732 0.465 0.821
Cl7 0.731 0.463 0.288
Cl8 0.315 0.041 0.801
```

Results
Its space-group type is No. 12. For the raw formation energy, the calculation gives -13.41 eV per formula unit. For the mass density, the calculation gives 2.5 g cm⁻³.

[7]
This record from Alexandria describes crystalline K2CrCl at its relaxed geometry. The functional is PBE-GGA.

The structure in CIF format:
```
data_K2CrCl
_chemical_formula_sum 'K2 Cr1 Cl1'
_cell_length_a 10.427
_cell_length_b 10.427
_cell_length_c 10.427
_cell_angle_alpha 23.95
_cell_angle_beta 23.95
_cell_angle_gamma 23.95
_space_group_name_H-M_alt 'P 1'
_space_group_IT_number 1
loop_
_space_group_symop_operation_xyz
'x,y,z'
loop_
_atom_site_label
_atom_site_fract_x
_atom_site_fract_y
_atom_site_fract_z
Cr1 0.775 0.775 0.775
Cl1 0.488 0.488 0.488
K1 0.217 0.217 0.217
K2 0.020 0.020 0.020
```

Results
Its space-group type is No. 160. Its energy above the most stable polymorph in this dataset is 234.8 meV per atom. For the raw formation energy, the calculation gives -0.20 eV per formula unit. For the mass density, the calculation gives 1.7 g cm⁻³.

[8]
This record from Alexandria describes crystalline K2CrCl at its relaxed geometry. The functional is PBE-GGA.

The structure in CIF format:
```
data_K2CrCl
_chemical_formula_sum 'K2 Cr1 Cl1'
_cell_length_a 5.873
_cell_length_b 5.873
_cell_length_c 5.873
_cell_angle_alpha 60.00
_cell_angle_beta 60.00
_cell_angle_gamma 60.00
_space_group_name_H-M_alt 'P 1'
_space_group_IT_number 1
loop_
_space_group_symop_operation_xyz
'x,y,z'
loop_
_atom_site_label
_atom_site_fract_x
_atom_site_fract_y
_atom_site_fract_z
Cr1 0.750 0.750 0.750
Cl1 0.500 0.500 0.500
K1 0.000 0.000 0.000
K2 0.250 0.250 0.250
```

Results
Its space-group type is No. 216. Its energy above the most stable polymorph in this dataset is 400.6 meV per atom. For the raw formation energy, the calculation gives 0.47 eV per formula unit. For the mass density, the calculation gives 1.9 g cm⁻³.

[9]
This record from Alexandria describes crystalline KCrCl6 at its relaxed geometry. The functional is PBE-GGA.

The structure in CIF format:
```
data_KCrCl6
_chemical_formula_sum 'K1 Cr1 Cl6'
_cell_length_a 6.006
_cell_length_b 6.006
_cell_length_c 6.123
_cell_angle_alpha 80.17
_cell_angle_beta 80.17
_cell_angle_gamma 99.19
_space_group_name_H-M_alt 'P 1'
_space_group_IT_number 1
loop_
_space_group_symop_operation_xyz
'x,y,z'
loop_
_atom_site_label
_atom_site_fract_x
_atom_site_fract_y
_atom_site_fract_z
Cl1 0.725 0.075 0.267
Cl2 0.268 0.268 0.079
Cl3 0.732 0.732 0.921
Cl4 0.075 0.725 0.267
Cr1 0.000 0.000 0.000
K1 0.500 0.500 0.500
Cl5 0.275 0.925 0.733
Cl6 0.925 0.275 0.733
```

Results
Its space-group type is No. 12. For the raw formation energy, the calculation gives -7.72 eV per formula unit. For the mass density, the calculation gives 2.4 g cm⁻³.

[10]
This record from Alexandria describes crystalline KLa2CrCl at its relaxed geometry. The functional is PBE-GGA.

The structure in CIF format:
```
data_KLa2CrCl
_chemical_formula_sum 'K1 La2 Cr1 Cl1'
_cell_length_a 5.140
_cell_length_b 6.478
_cell_length_c 5.140
_cell_angle_alpha 90.00
_cell_angle_beta 90.00
_cell_angle_gamma 90.00
_space_group_name_H-M_alt 'P 1'
_space_group_IT_number 1
loop_
_space_group_symop_operation_xyz
'x,y,z'
loop_
_atom_site_label
_atom_site_fract_x
_atom_site_fract_y
_atom_site_fract_z
La1 0.000 0.000 0.500
La2 0.500 0.000 0.000
Cr1 0.000 0.000 0.000
K1 0.500 0.500 0.500
Cl1 0.000 0.500 0.000
```

Results
Its space-group type is No. 123. For the raw formation energy, the calculation gives 1.22 eV per formula unit. For the mass density, the calculation gives 3.9 g cm⁻³.

[11]
This record from Alexandria describes crystalline K3LiCr2Cl9 at its relaxed geometry. The functional is PBE-GGA.

The structure in CIF format:
```
data_K3LiCr2Cl9
_chemical_formula_sum 'K3 Li1 Cr2 Cl9'
_cell_length_a 6.991
_cell_length_b 6.991
_cell_length_c 8.584
_cell_angle_alpha 90.00
_cell_angle_beta 90.00
_cell_angle_gamma 120.00
_space_group_name_H-M_alt 'P 1'
_space_group_IT_number 1
loop_
_space_group_symop_operation_xyz
'x,y,z'
loop_
_atom_site_label
_atom_site_fract_x
_atom_site_fract_y
_atom_site_fract_z
Cl1 0.171 0.342 0.324
Cr1 0.667 0.333 0.831
Cl2 0.829 0.658 0.676
Cl3 0.500 0.000 0.000
Li1 0.000 0.000 0.500
Cl4 0.829 0.171 0.676
Cr2 0.333 0.667 0.169
K1 0.000 0.000 0.000
Cl5 0.171 0.829 0.324
Cl6 0.342 0.171 0.676
K2 0.333 0.667 0.655
K3 0.667 0.333 0.345
Cl7 0.500 0.500 0.000
Cl8 0.658 0.829 0.324
Cl9 0.000 0.500 0.000
```

Results
Its space-group type is No. 164. For the raw formation energy, the calculation gives -22.63 eV per formula unit. For the mass density, the calculation gives 2.5 g cm⁻³.

[12]
This record from Alexandria describes crystalline KLiCrCl6 at its relaxed geometry. The functional is PBE-GGA.

The structure in CIF format:
```
data_KLiCrCl6
_chemical_formula_sum 'K1 Li1 Cr1 Cl6'
_cell_length_a 6.910
_cell_length_b 6.403
_cell_length_c 6.403
_cell_angle_alpha 120.00
_cell_angle_beta 90.00
_cell_angle_gamma 90.00
_space_group_name_H-M_alt 'P 1'
_space_group_IT_number 1
loop_
_space_group_symop_operation_xyz
'x,y,z'
loop_
_atom_site_label
_atom_site_fract_x
_atom_site_fract_y
_atom_site_fract_z
Cl1 0.694 0.977 0.282
Cr1 0.500 0.000 0.000
Li1 0.500 0.667 0.333
Cl2 0.694 0.718 0.695
Cl3 0.306 0.305 0.282
Cl4 0.306 0.977 0.695
K1 0.000 0.333 0.667
Cl5 0.694 0.305 0.023
Cl6 0.306 0.718 0.023
```

Results
Its space-group type is No. 149. For the raw formation energy, the calculation gives -11.89 eV per formula unit. For the mass density, the calculation gives 2.1 g cm⁻³.